# 1
This record from Alexandria via LeMat-Bulk describes a geometry-optimized Mg2CuSi structure. The functional is GGA-PBE.

The structure in extended XYZ format:
```
4
Lattice="-1.999 1.999 4.148 1.999 -1.999 4.148 1.999 1.999 -4.148" Properties=species:S:1:pos:R:3 pbc="T T T"
Mg 0.000 0.000 0.000
Mg 0.000 1.999 2.074
Cu 0.000 0.000 4.148
Si 1.999 0.000 2.074
```

Properties
Formation energy without anion corrections (meV per atom): 36
Symmetry: I-4m2 (119)

# 2
This record from Alexandria via LeMat-Bulk describes a geometry-optimized Mg2CuSi structure. The functional is GGA-PBE.

The structure in extended XYZ format:
```
8
Lattice="-3.656 3.656 2.780 3.656 -3.656 2.780 3.656 3.656 -2.780" Properties=species:S:1:pos:R:3 pbc="T T T"
Mg 5.484 1.729 -0.695
Mg 1.729 1.828 0.695
Mg -1.828 1.927 2.085
Mg 1.927 1.828 3.476
Cu 0.000 0.000 0.000
Cu 0.000 3.656 1.390
Si 3.656 0.000 1.390
Si 0.000 0.000 2.780
```

Properties
Formation energy without anion corrections (meV per atom): 314
Symmetry: I-42d (122)